(1)
Here is a crystal of LiAl2Cu relaxed with PBEsol from Alexandria via LeMat-Bulk. Energies are from meta-GGA SCAN.

Cell lengths 2.7298, 4.3254, 4.6702 Å; angles 90.00, 90.00, 90.00 degrees
Closest atoms and distances in Å follow each position.
Space group Pmm2 (No. 25)
Inequivalent atoms, fractional coordinates:
Li  0.0000  0.0000  0.0000 [1 per cell]  8 Al 2.65-2.74, 2 Cu 2.67, 2 Li 2.73
Al  0.5000  0.0000  0.5092 [1 per cell]  4 Cu 2.66, 4 Li 2.67-2.74, 4 Al 2.73-2.74
Al  0.5000  0.5000  0.1491 [1 per cell]  4 Cu 2.64-2.77, 4 Li 2.65, 4 Al 2.73-2.74
Cu  0.0000  0.5000  0.6663 [1 per cell]  8 Al 2.64-2.77, 2 Li 2.67, 2 Cu 2.73

M_tot   0.0 Bohr magnetons per cell
Raw total energy   -0.6204 Ry/atom



(2)
Here is a crystal of LiAlCu2 relaxed with PBEsol from Alexandria via LeMat-Bulk. Energies are from meta-GGA SCAN.

Cell lengths 2.9139, 2.9139, 5.7851 Å; angles 90.00, 90.00, 90.00 degrees
Closest atoms and distances in Å follow each position.
Space group P4/mmm (No. 123)
Inequivalent atoms, fractional coordinates:
Li  0.0000  0.0000  0.0000 [1 per cell]  8 Cu 2.50
Al  0.0000  0.0000  0.5000 [1 per cell]  8 Cu 2.53
Cu  0.5000  0.5000  0.2461 [2 per cell]  4 Li 2.50, 4 Al 2.53

M_tot   0.0 Bohr magnetons per cell
Raw total energy   -0.7603 Ry/atom



(3)
Here is a crystal of Li2AlCu relaxed with PBEsol from Alexandria via LeMat-Bulk. Energies are from meta-GGA SCAN.

Cell lengths 2.6451, 3.7639, 5.6848 Å; angles 90.00, 90.00, 90.00 degrees
Closest atoms and distances in Å follow each position.
Space group Pmm2 (No. 25)
Inequivalent atoms, fractional coordinates:
Li  0.0000  0.0000  0.0000 [1 per cell]  1 Al 2.60, 6 Li 2.65-2.76, 4 Cu 2.73
Li  0.5000  0.5000  0.2673 [1 per cell]  6 Li 2.65-2.76, 1 Cu 2.70, 4 Al 2.78
Al  0.0000  0.0000  0.5425 [1 per cell]  4 Cu 2.56, 5 Li 2.60-2.78, 2 Al 2.65
Cu  0.5000  0.5000  0.7419 [1 per cell]  4 Al 2.56, 2 Cu 2.65, 5 Li 2.70-2.73

M_tot   0.0 Bohr magnetons per cell
Raw total energy   -0.5198 Ry/atom



(4)
Here is a crystal of LuAlCu2 relaxed with PBEsol from Alexandria via LeMat-Bulk. Energies are from meta-GGA SCAN.

Cell lengths 6.2618, 6.2618, 6.2618 Å; angles 90.00, 90.00, 90.00 degrees
Closest atoms and distances in Å follow each position.
Space group Fm-3m (No. 225)
Inequivalent atoms, fractional coordinates:
Lu  0.0000  0.0000  0.0000 [4 per cell]  8 Cu 2.71
Al  0.0000  0.0000  0.5000 [4 per cell]  8 Cu 2.71
Cu  0.2500  0.2500  0.2500 [8 per cell]  4 Lu 2.71, 4 Al 2.71

M_tot   0.0 Bohr magnetons per cell
Raw total energy   -1.7520 Ry/atom



(5)
Here is a crystal of LuAlCu relaxed with PBEsol from Alexandria via LeMat-Bulk. Energies are from meta-GGA SCAN.

Cell lengths 5.2691, 5.3465, 7.2608 Å; angles 90.00, 90.00, 90.00 degrees
Closest atoms and distances in Å follow each position.
Space group Imma (No. 74)
Inequivalent atoms, fractional coordinates:
Lu  0.0000  0.2500  0.1218 [4 per cell]  6 Cu 3.00-3.12, 6 Al 3.05-3.08, 4 Lu 3.21-3.23
Al  0.0000  0.0000  0.5000 [4 per cell]  4 Cu 2.61, 2 Al 2.67
Cu  0.2500  0.2500  0.7500 [4 per cell]  4 Al 2.61, 2 Cu 2.63

M_tot   0.0 Bohr magnetons per cell
Raw total energy   -1.9526 Ry/atom



(6)
Here is a crystal of Mg2AlCu relaxed with PBEsol from Alexandria via LeMat-Bulk. Energies are from meta-GGA SCAN.

Cell lengths 2.9755, 2.9755, 26.9611 Å; angles 90.00, 90.00, 120.00 degrees
Closest atoms and distances in Å follow each position.
Space group R-3m (No. 166, hexagonal axes)
Inequivalent atoms, fractional coordinates:
Mg  0.0000  0.0000  0.2435 [6 per cell]  3 Cu 2.69, 3 Al 2.97, 6 Mg 2.98
Al  0.0000  0.0000  0.0000 [3 per cell]  6 Mg 2.97, 6 Al 2.98
Cu  0.0000  0.0000  0.5000 [3 per cell]  6 Mg 2.69, 6 Cu 2.98

M_tot   0.0 Bohr magnetons per cell
Raw total energy   -0.5992 Ry/atom



(7)
Here is a crystal of MgAl2Cu relaxed with PBEsol from Alexandria via LeMat-Bulk. Energies are from meta-GGA SCAN.

Cell lengths 2.8180, 4.7483, 9.5194 Å; angles 90.00, 90.00, 90.00 degrees
Closest atoms and distances in Å follow each position.
Space group Immm (No. 71)
Inequivalent atoms, fractional coordinates:
Mg  0.0000  0.0000  0.0000 [2 per cell]  4 Cu 2.76, 2 Mg 2.82, 4 Al 3.02
Al  0.0000  0.5000  0.2197 [4 per cell]  2 Cu 2.52, 6 Al 2.82
Cu  0.0000  0.0000  0.5000 [2 per cell]  4 Al 2.52, 4 Mg 2.76, 2 Cu 2.82

M_tot   0.0 Bohr magnetons per cell
Raw total energy   -0.6605 Ry/atom



(8)
Here is a crystal of MgAlCu relaxed with PBEsol from Alexandria via LeMat-Bulk. Energies are from meta-GGA SCAN.

Cell lengths 5.1108, 5.1974, 6.9618 Å; angles 90.00, 90.00, 90.00 degrees
Closest atoms and distances in Å follow each position.
Space group Imma (No. 74)
Inequivalent atoms, fractional coordinates:
Mg  0.0000  0.2500  0.1178 [4 per cell]  6 Cu 2.86-3.04, 6 Al 2.96-2.98, 4 Mg 3.07-3.15
Al  0.0000  0.0000  0.5000 [4 per cell]  4 Cu 2.52, 2 Al 2.60
Cu  0.2500  0.2500  0.7500 [4 per cell]  4 Al 2.52, 2 Cu 2.56

M_tot   0.0 Bohr magnetons per cell
Raw total energy   -0.7024 Ry/atom



(9)
Here is a crystal of MgAlCu relaxed with PBEsol from Alexandria via LeMat-Bulk. Energies are from meta-GGA SCAN.

Cell lengths 2.9292, 2.9292, 10.8533 Å; angles 90.00, 90.00, 90.00 degrees
Closest atoms and distances in Å follow each position.
Space group I4mm (No. 107)
Inequivalent atoms, fractional coordinates:
Mg  0.0000  0.0000  0.0000 [2 per cell]  4 Cu 2.73, 4 Mg 2.93, 4 Al 3.03
Al  0.0000  0.0000  0.7033 [2 per cell]  4 Cu 2.52
Cu  0.0000  0.0000  0.3359 [2 per cell]  4 Al 2.52, 4 Mg 2.73

M_tot   0.0 Bohr magnetons per cell
Raw total energy   -0.6948 Ry/atom



(10)
Here is a crystal of MgAl2Cu relaxed with PBEsol from Alexandria via LeMat-Bulk. Energies are from meta-GGA SCAN.

Cell lengths 3.9634, 9.2098, 7.0623 Å; angles 90.00, 90.00, 90.00 degrees
Closest atoms and distances in Å follow each position.
Space group Cmcm (No. 63)
Inequivalent atoms, fractional coordinates:
Mg  0.0000  0.0642  0.2500 [4 per cell]  3 Cu 2.62-2.80
Al  0.0000  0.3550  0.0549 [8 per cell]  3 Cu 2.48-2.51, 2 Al 2.76-2.78
Cu  0.0000  0.2205  0.7500 [4 per cell]  6 Al 2.48-2.51, 1 Mg 2.62

M_tot   0.0 Bohr magnetons per cell
Raw total energy   -0.6735 Ry/atom



(11)
Here is a crystal of MgAl2Cu relaxed with PBEsol from Alexandria via LeMat-Bulk. Energies are from meta-GGA SCAN.

Cell lengths 4.0086, 4.0086, 7.8164 Å; angles 90.00, 90.00, 90.00 degrees
Closest atoms and distances in Å follow each position.
Space group I-4m2 (No. 119)
Inequivalent atoms, fractional coordinates:
Mg  0.0000  0.0000  0.0000 [2 per cell]  4 Cu 2.80, 8 Al 2.80-2.83
Al  0.0000  0.0000  0.5000 [2 per cell]  4 Al 2.80, 4 Cu 2.80, 4 Mg 2.83
Al  0.0000  0.5000  0.7500 [2 per cell]  4 Al 2.80, 4 Mg 2.80, 4 Cu 2.83
Cu  0.0000  0.5000  0.2500 [2 per cell]  4 Mg 2.80, 8 Al 2.80-2.83

M_tot   0.0 Bohr magnetons per cell
Raw total energy   -0.6575 Ry/atom



(12)
Here is a crystal of Mg2AlCu relaxed with PBEsol from Alexandria via LeMat-Bulk. Energies are from meta-GGA SCAN.

Cell lengths 4.2881, 3.0900, 10.4151 Å; angles 90.00, 90.00, 90.00 degrees
Closest atoms and distances in Å follow each position.
Space group Amm2 (No. 38)
Inequivalent atoms, fractional coordinates:
Mg  0.0000  0.0000  0.0000 [2 per cell]  3 Al 2.81-2.86, 4 Cu 2.85, 2 Mg 3.09
Mg  0.5000  0.0000  0.3337 [2 per cell]  3 Cu 2.80-2.86, 4 Al 2.87, 2 Mg 3.09
Al  0.0000  0.0000  0.7257 [2 per cell]  2 Cu 2.50
Cu  0.5000  0.0000  0.6026 [2 per cell]  2 Al 2.50

M_tot   0.0 Bohr magnetons per cell
Raw total energy   -0.6099 Ry/atom



Question: Look up the raw total energy of the eleventh one.
Answer: -0.6575 Ry/atom